(1)
Entry from the Alexandria database: an optimized crystal structure of Ta2CuRh (PBE).

Computed properties:
D(E_F)   3.29 states/eV/f.u.
Final energy   -35.43 eV/cell
Energy of formation   -0.0699 eV/atom

Cell lengths 5.412, 5.412, 5.412 Å; angles 148.65, 128.96, 61.13 degrees
Atoms (fractional coordinates):
Cu 0.491 0.491 0.000
Rh 0.255 0.755 0.500
Ta 0.007 0.007 0.000
Ta 0.747 0.247 0.500


(2)
Entry from the Alexandria database: an optimized crystal structure of ScCd2Os (PBE).

Computed properties:
D(E_F)   3.03 states/eV/f.u.
Polymorph energy (0 for the lowest one)   267.5 meV per atom
Final energy   -18.42 eV/cell
Energy of formation   0.2435 eV/atom

Cell lengths 5.089, 5.089, 3.162 Å; angles 90.00, 90.00, 113.91 degrees
Atoms (fractional coordinates):
Cd 0.000 0.000 0.000
Cd 0.500 0.500 0.000
Os 0.500 0.000 0.500
Sc 0.000 0.500 0.500


(3)
Entry from the Alexandria database: an optimized crystal structure of CoAuBr2 (PBE).

Computed properties:
D(E_F)   3.27 states/eV/f.u.
Polymorph energy (0 for the lowest one)   44.5 meV per atom
E_form (uncorrected)   8.1 kJ per mole of atoms
Final energy   -13.39 eV/cell

Cell lengths 3.556, 4.631, 6.807 Å; angles 82.64, 90.00, 90.00 degrees
Site moments in Bohr magnetons follow the coordinates.
Atoms (fractional coordinates):
Au 0.500 0.684 0.722  0.01
Br 0.000 0.040 0.875  0.02
Br 0.500 0.409 0.332  0.08
Co 0.000 0.367 0.571  1.93


(4)
Entry from the Alexandria database: an optimized crystal structure of PmThI2 (PBE).

Computed properties:
D(E_F)   4.99 states/eV/f.u.
E_form (uncorrected)   -56.7 kJ per mole of atoms
Final energy   -17.62 eV/cell

Cell lengths 3.805, 3.805, 11.285 Å; angles 80.29, 80.29, 60.00 degrees
Site moments in Bohr magnetons follow the coordinates.
Atoms (fractional coordinates):
I 0.097 0.097 0.709  0.00
I 0.903 0.903 0.291  0.00
Th 0.000 0.000 0.000  0.09
Pm 0.500 0.500 0.500  0.00


(5)
Entry from the Alexandria database: an optimized crystal structure of Zr2ScTiO (PBE).

Computed properties:
D(E_F)   6.47 states/eV/f.u.
Polymorph energy (0 for the lowest one)   46.3 meV per atom
E_form (uncorrected)   -101.5 kJ per mole of atoms
Final energy   -41.54 eV/cell

Cell lengths 4.636, 4.636, 4.126 Å; angles 90.00, 90.00, 90.00 degrees
Atoms (fractional coordinates):
Sc 0.500 0.500 0.500
O 0.000 0.000 0.000
Zr 0.000 0.500 0.000
Zr 0.500 0.000 0.000
Ti 0.000 0.000 0.500


(6)
Entry from the Alexandria database: an optimized crystal structure of Sm6Ho2Sc3 (PBE).

Computed properties:
D(E_F)   17.36 states/eV/f.u.
Final energy   -55.51 eV/cell
Energy of formation   0.0871 eV/atom

Cell lengths 5.957, 8.600, 14.667 Å; angles 41.78, 82.92, 113.05 degrees
Atoms (fractional coordinates):
Sm 0.759 0.362 0.906
Sm 0.991 0.424 0.642
Sm 0.241 0.638 0.094
Sm 0.009 0.576 0.358
Sm 0.678 0.777 0.550
Sm 0.322 0.223 0.450
Ho 0.498 0.278 0.182
Ho 0.502 0.722 0.818
Sc 0.000 0.000 0.000
Sc 0.742 0.915 0.264
Sc 0.258 0.085 0.736


(7)
Entry from the Alexandria database: an optimized crystal structure of CsNiOsBr6 (PBE).

Computed properties:
D(E_F)   8.01 states/eV/f.u.
E_form (uncorrected)   -48.1 kJ per mole of atoms
Final energy   -32.39 eV/cell

Cell lengths 6.656, 6.656, 8.272 Å; angles 90.00, 90.00, 60.00 degrees
Site moments in Bohr magnetons follow the coordinates.
Atoms (fractional coordinates):
Cs 0.000 0.000 0.000  0.01
Ni 0.667 0.667 0.500  1.33
Os 0.333 0.333 0.500  0.86
Br 0.006 0.365 0.328  0.09
Br 0.365 0.006 0.672  0.09
Br 0.629 0.365 0.672  0.09
Br 0.006 0.629 0.672  0.09
Br 0.365 0.629 0.328  0.09
Br 0.629 0.006 0.328  0.09


(8)
Entry from the Alexandria database: an optimized crystal structure of Mg2Zr2Tc (PBE).

Computed properties:
D(E_F)   4.56 states/eV/f.u.
Final energy   -31.36 eV/cell
Energy of formation   -0.1420 eV/atom

Cell lengths 3.289, 3.289, 10.032 Å; angles 99.43, 99.43, 90.00 degrees
Atoms (fractional coordinates):
Mg 0.802 0.802 0.604
Mg 0.198 0.198 0.396
Zr 0.581 0.581 0.163
Zr 0.419 0.419 0.837
Tc 0.000 0.000 0.000


(9)
Entry from the Alexandria database: an optimized crystal structure of InCuTc2 (PBE).

Computed properties:
D(E_F)   2.79 states/eV/f.u.
Final energy   -26.01 eV/cell
Energy of formation   0.3882 eV/atom

Cell lengths 2.786, 2.786, 9.103 Å; angles 90.00, 90.00, 115.00 degrees
Atoms (fractional coordinates):
Cu 0.000 0.000 0.488
In 0.500 0.500 0.745
Tc 0.000 0.000 0.019
Tc 0.500 0.500 0.248


(10)
Entry from the Alexandria database: an optimized crystal structure of Tb6GeTe2Se3 (PBE).

Computed properties:
D(E_F)   5.71 states/eV/f.u.
E_form (uncorrected)   -147.5 kJ per mole of atoms
Final energy   -67.48 eV/cell

Cell lengths 7.330, 7.330, 7.243 Å; angles 99.71, 99.71, 119.93 degrees
Atoms (fractional coordinates):
Tb 0.914 0.607 0.740
Tb 0.782 0.782 0.264
Tb 0.086 0.393 0.260
Tb 0.607 0.914 0.740
Tb 0.218 0.218 0.736
Tb 0.393 0.086 0.260
Ge 0.000 0.000 0.000
Te 0.335 0.665 0.000
Te 0.665 0.335 0.000
Se 0.176 0.824 0.500
Se 0.824 0.176 0.500
Se 0.500 0.500 0.500


(11)
Entry from the Alexandria database: an optimized crystal structure of K3HgS2 (PBE).

Computed properties:
D(E_F)   2.47 states/eV/f.u.
E_form (uncorrected)   -73.6 kJ per mole of atoms
Final energy   -32.85 eV/cell

Cell lengths 7.349, 7.972, 8.968 Å; angles 116.39, 114.19, 90.00 degrees
Site moments in Bohr magnetons follow the coordinates.
Atoms (fractional coordinates):
K 0.500 0.250 0.000  0.00
K 0.500 0.750 0.000  0.00
K 0.771 0.021 0.543  0.01
K 0.229 0.479 0.457  0.01
K 0.229 0.979 0.457  0.01
K 0.771 0.521 0.543  0.01
Hg 0.000 0.500 0.000  0.14
Hg 0.000 0.000 0.000  0.14
S 0.591 0.367 0.734  0.17
S 0.857 0.133 0.266  0.17
S 0.143 0.867 0.734  0.17
S 0.409 0.633 0.266  0.17


(12)
Entry from the Alexandria database: an optimized crystal structure of AlRu2Rh (PBE).

Computed properties:
D(E_F)   4.99 states/eV/f.u.
Final energy   -30.18 eV/cell
Energy of formation   -0.1334 eV/atom

Cell lengths 4.060, 2.743, 5.353 Å; angles 71.09, 90.00, 90.00 degrees
Atoms (fractional coordinates):
Ru 0.000 0.095 0.008
Ru 0.000 0.405 0.492
Rh 0.500 0.750 0.750
Al 0.500 0.250 0.250


(13)
Entry from the Alexandria database: an optimized crystal structure of La3Tc (PBE).

Computed properties:
D(E_F)   6.56 states/eV/f.u.
Final energy   -23.94 eV/cell
Energy of formation   0.3027 eV/atom

Cell lengths 5.307, 5.307, 5.307 Å; angles 60.00, 60.00, 60.00 degrees
Atoms (fractional coordinates):
La 0.000 0.000 0.000
La 0.500 0.500 0.500
La 0.250 0.250 0.250
Tc 0.750 0.750 0.750


(14)
Entry from the Alexandria database: an optimized crystal structure of CdPdRu2C (PBE).

Computed properties:
D(E_F)   4.14 states/eV/f.u.
Final energy   -32.73 eV/cell
Energy of formation   0.2304 eV/atom

Cell lengths 4.081, 4.273, 4.081 Å; angles 90.00, 90.00, 90.00 degrees
Site moments in Bohr magnetons follow the coordinates.
Atoms (fractional coordinates):
Ru 0.000 0.000 0.500  0.91
Ru 0.500 0.000 0.000  0.69
C 0.000 0.000 0.000  -0.04
Pd 0.000 0.500 0.000  0.16
Cd 0.500 0.500 0.500  -0.01


(15)
Entry from the Alexandria database: an optimized crystal structure of Na3TaS4 (PBE).

Computed properties:
D(E_F)   0.00 states/eV/f.u.
E_form (uncorrected)   -107.4 kJ per mole of atoms
Final energy   -164.89 eV/cell

Cell lengths 8.453, 9.050, 10.572 Å; angles 90.00, 90.00, 90.00 degrees
Atoms (fractional coordinates):
Na 0.409 0.577 0.750
Na 0.909 0.923 0.750
Na 0.591 0.423 0.250
Na 0.091 0.077 0.250
Na 0.399 0.775 0.057
Na 0.899 0.725 0.443
Na 0.601 0.225 0.557
Na 0.101 0.275 0.943
Na 0.601 0.225 0.943
Na 0.101 0.275 0.557
Na 0.399 0.775 0.443
Na 0.899 0.725 0.057
S 0.179 0.956 0.571
S 0.679 0.544 0.929
S 0.821 0.044 0.071
S 0.321 0.456 0.429
S 0.821 0.044 0.429
S 0.321 0.456 0.071
S 0.179 0.956 0.929
S 0.679 0.544 0.571
S 0.367 0.261 0.750
S 0.867 0.239 0.750
S 0.633 0.739 0.250
S 0.133 0.761 0.250
S 0.554 0.889 0.750
S 0.054 0.611 0.750
S 0.446 0.111 0.250
S 0.946 0.389 0.250
Ta 0.320 0.012 0.750
Ta 0.820 0.488 0.750
Ta 0.680 0.988 0.250
Ta 0.180 0.512 0.250


(16)
Entry from the Alexandria database: an optimized crystal structure of Mg2TaPt (PBE).

Computed properties:
D(E_F)   2.46 states/eV/f.u.
Polymorph energy (0 for the lowest one)   42.1 meV per atom
Final energy   -22.05 eV/cell
Energy of formation   -0.2425 eV/atom

Cell lengths 2.919, 2.919, 8.216 Å; angles 90.00, 90.00, 90.00 degrees
Atoms (fractional coordinates):
Mg 0.000 0.000 0.031
Mg 0.000 0.000 0.469
Pt 0.500 0.500 0.250
Ta 0.500 0.500 0.750


(17)
Entry from the Alexandria database: an optimized crystal structure of Sm6SnBr8 (PBE).

Computed properties:
D(E_F)   5.13 states/eV/f.u.
E_form (uncorrected)   -133.0 kJ per mole of atoms
Final energy   -66.38 eV/cell

Cell lengths 7.169, 7.169, 11.804 Å; angles 72.32, 72.32, 60.00 degrees
Atoms (fractional coordinates):
Sm 0.947 0.603 0.158
Sm 0.709 0.053 0.842
Sm 0.397 0.709 0.842
Sm 0.603 0.291 0.158
Sm 0.291 0.947 0.158
Sm 0.053 0.397 0.842
Sn 0.000 0.000 0.000
Br 0.785 0.432 0.675
Br 0.892 0.215 0.325
Br 0.568 0.892 0.325
Br 0.333 0.333 0.000
Br 0.667 0.667 0.000
Br 0.432 0.108 0.675
Br 0.108 0.785 0.675
Br 0.215 0.568 0.325


(18)
Entry from the Alexandria database: an optimized crystal structure of Ag4Pt7 (PBE).

Computed properties:
D(E_F)   14.01 states/eV/f.u.
Polymorph energy (0 for the lowest one)   55.6 meV per atom
Final energy   -53.27 eV/cell
Energy of formation   0.0383 eV/atom

Cell lengths 7.589, 4.871, 4.940 Å; angles 98.77, 96.18, 91.53 degrees
Atoms (fractional coordinates):
Ag 0.001 0.998 0.004
Ag 0.908 0.454 0.727
Ag 0.820 0.908 0.452
Ag 0.455 0.729 0.363
Pt 0.721 0.362 0.170
Pt 0.630 0.824 0.909
Pt 0.547 0.280 0.640
Pt 0.366 0.185 0.089
Pt 0.270 0.634 0.816
Pt 0.191 0.089 0.550
Pt 0.093 0.539 0.281


(19)
Entry from the Alexandria database: an optimized crystal structure of Ba2TeIrC (PBE).

Computed properties:
D(E_F)   2.67 states/eV/f.u.
E_form (uncorrected)   -55.5 kJ per mole of atoms
Final energy   -27.95 eV/cell

Cell lengths 6.056, 6.056, 3.903 Å; angles 90.00, 90.00, 90.00 degrees
Atoms (fractional coordinates):
C 0.000 0.000 0.000
Ir 0.000 0.000 0.500
Te 0.500 0.500 0.500
Ba 0.000 0.500 0.000
Ba 0.500 0.000 0.000


(20)
Entry from the Alexandria database: an optimized crystal structure of Ga4I2N (PBE).

Computed properties:
D(E_F)   3.37 states/eV/f.u.
E_form (uncorrected)   14.0 kJ per mole of atoms
Final energy   -22.51 eV/cell

Cell lengths 4.786, 4.786, 9.422 Å; angles 75.29, 75.29, 90.00 degrees
Atoms (fractional coordinates):
I 0.631 0.631 0.739
I 0.369 0.369 0.261
Ga 0.873 0.873 0.254
Ga 0.127 0.127 0.746
Ga 0.000 0.500 0.000
Ga 0.500 0.000 0.000
N 0.000 0.000 0.000


(21)
Entry from the Alexandria database: an optimized crystal structure of Ba2ErCd (PBE).

Computed properties:
D(E_F)   5.38 states/eV/f.u.
Final energy   -8.18 eV/cell
Energy of formation   0.2864 eV/atom

Cell lengths 3.816, 3.816, 13.067 Å; angles 81.60, 81.60, 60.00 degrees
Atoms (fractional coordinates):
Cd 0.500 0.500 0.500
Ba 0.093 0.093 0.722
Ba 0.907 0.907 0.278
Er 0.000 0.000 0.000


(22)
Entry from the Alexandria database: an optimized crystal structure of PmPuTl2O6 (PBE).

Computed properties:
E_form (uncorrected)   -205.7 kJ per mole of atoms
Final energy   -74.89 eV/cell

Cell lengths 6.208, 6.208, 6.207 Å; angles 60.00, 60.00, 60.00 degrees
Site moments in Bohr magnetons follow the coordinates.
Atoms (fractional coordinates):
Pm 0.816 0.816 0.552  -0.01
Pu 0.316 0.316 0.051  1.42
Tl 0.566 0.566 0.302  0.00
Tl 0.066 0.066 0.802  0.00
O 0.547 0.088 0.283  -0.06
O 0.088 0.083 0.283  -0.06
O 0.082 0.547 0.282  -0.06
O 0.545 0.550 0.820  -0.06
O 0.550 0.085 0.820  -0.06
O 0.085 0.545 0.820  -0.06


(23)
Entry from the Alexandria database: an optimized crystal structure of HgIN2 (PBE).

Computed properties:
D(E_F)   1.06 states/eV/f.u.
Polymorph energy (0 for the lowest one)   1493.0 meV per atom
E_form (uncorrected)   148.0 kJ per mole of atoms
Final energy   -12.37 eV/cell

Cell lengths 6.549, 6.549, 6.549 Å; angles 33.41, 33.41, 33.41 degrees
Atoms (fractional coordinates):
I 0.500 0.500 0.500
Hg 0.000 0.000 0.000
N 0.888 0.888 0.888
N 0.112 0.112 0.112


(24)
Entry from the Alexandria database: an optimized crystal structure of PrSc2In (PBE).

Computed properties:
D(E_F)   5.02 states/eV/f.u.
Polymorph energy (0 for the lowest one)   146.6 meV per atom
Final energy   -20.53 eV/cell
Energy of formation   -0.0881 eV/atom

Cell lengths 3.420, 3.420, 10.823 Å; angles 80.91, 80.91, 60.00 degrees
Atoms (fractional coordinates):
Pr 0.500 0.500 0.499
Sc 0.076 0.076 0.771
Sc 0.257 0.257 0.229
In 0.666 0.666 0.001


(25)
Entry from the Alexandria database: an optimized crystal structure of FeBrCl3 (PBE).

Computed properties:
Polymorph energy (0 for the lowest one)   42.1 meV per atom
E_form (uncorrected)   -44.8 kJ per mole of atoms
Final energy   -35.99 eV/cell

Cell lengths 5.931, 6.887, 7.809 Å; angles 102.63, 89.98, 90.28 degrees
Site moments in Bohr magnetons follow the coordinates.
Atoms (fractional coordinates):
Fe 0.209 0.713 0.757  3.03
Fe 0.708 0.640 0.144  3.03
Br 0.330 0.396 0.626  0.17
Br 0.832 0.957 0.275  0.17
Cl 0.480 0.391 0.087  0.17
Cl 0.456 0.819 0.003  0.14
Cl 0.901 0.511 0.326  0.12
Cl 0.984 0.962 0.816  0.17
Cl 0.954 0.534 0.898  0.14
Cl 0.403 0.842 0.575  0.12